# Zr2PO

Zr2PO after structural relaxation (PBE, the Alexandria database).

```
data_Zr2PO
_cell_length_a 3.5212
_cell_length_b 3.5212
_cell_length_c 17.2970
_cell_angle_alpha 90.00
_cell_angle_beta 90.00
_cell_angle_gamma 120.00
_space_group_name_H-M_alt 'R -3 m'
_space_group_IT_number 166
_space_group_name_Hall '-R 3 2"'
loop_
_atom_site_label
_atom_site_fract_x
_atom_site_fract_y
_atom_site_fract_z
Zr1 0.0000 0.0000 0.2385
P1 0.0000 0.0000 0.0000
O1 0.0000 0.0000 0.5000
```

Values from the calculation:
E_form (uncorrected)	-162.6	kJ per mole of atoms
distance to the lowest polymorph of the same formula	0	meV per atom
crystal system	trigonal
total magnetization	0.000	μB/atom

# NpB3

NpB3 after structural relaxation (PBE, the Alexandria database).

```
data_NpB3
_cell_length_a 3.528
_cell_length_b 3.528
_cell_length_c 8.008
_cell_angle_alpha 90.00
_cell_angle_beta 90.00
_cell_angle_gamma 90.00
_space_group_name_H-M_alt 'I 4/m m m'
_space_group_IT_number 139
_space_group_name_Hall '-I 4 2'
loop_
_atom_site_label
_atom_site_fract_x
_atom_site_fract_y
_atom_site_fract_z
Np1 0.000 0.000 0.000
B1 0.000 0.000 0.301
B2 0.000 0.000 0.500
```

Values from the calculation:
ΔE_f	632	meV/atom
crystal system	tetragonal
total magnetization	0.771	μB/atom

# Pm2AlRhO6

Pm2AlRhO6 after structural relaxation (PBE, the Alexandria database).

```
data_Pm2AlRhO6
_cell_length_a 5.404
_cell_length_b 5.602
_cell_length_c 9.377
_cell_angle_alpha 90.00
_cell_angle_beta 124.78
_cell_angle_gamma 90.00
_space_group_name_H-M_alt 'P 1 21/c 1'
_space_group_IT_number 14
loop_
_space_group_symop_operation_xyz
'x,y,z'
'-x,-y,-z'
'-x,y+1/2,-z+1/2'
'x,-y+1/2,z+1/2'
loop_
_atom_site_label
_atom_site_fract_x
_atom_site_fract_y
_atom_site_fract_z
Pm1 0.235 0.059 0.250
Al1 0.500 0.000 0.000
Rh1 0.000 0.000 0.500
O1 0.165 0.194 0.953
O2 0.259 0.715 0.950
O3 0.354 0.025 0.761
```

Values from the calculation:
E_form (uncorrected)	-257.2	kJ per mole of atoms
crystal system	monoclinic
total magnetization	0.000	μB/atom

# K2Pb

K2Pb after structural relaxation (PBE, the Alexandria database).

```
data_K2Pb
_cell_length_a 6.1393
_cell_length_b 6.1393
_cell_length_c 3.6575
_cell_angle_alpha 90.00
_cell_angle_beta 90.00
_cell_angle_gamma 120.00
_space_group_name_H-M_alt 'P -3 m 1'
_space_group_IT_number 164
_space_group_name_Hall '-P 3 2"'
loop_
_atom_site_label
_atom_site_fract_x
_atom_site_fract_y
_atom_site_fract_z
K1 0.3333 0.6667 0.0718
Pb1 0.0000 0.0000 0.5000
```

Values from the calculation:
ΔE_f	-47	meV/atom
crystal system	trigonal
total magnetization	0.000	μB/atom

Results for E: -34.205; -30.446; -77.003; -6.044 (in eV/f.u., following the order of the records).